No. 1
This record from Alexandria describes a relaxed CaNdInNi crystal. The functional is PBE.

Cell lengths 5.219, 5.219, 5.219 Å; angles 60.00, 60.00, 60.00 degrees
Fractional positions:
Ni (0.250, 0.250, 0.250)
Ca (0.500, 0.500, 0.500)
Nd (0.000, 0.000, 0.000)
In (0.750, 0.750, 0.750)

## Properties
Energy of formation (kJ per mole of atoms): -20.1
Calculated total energy (Ha/atom): -0.148

No. 2
This record from Alexandria describes a relaxed ZrHgMo2 crystal. The functional is PBE.

Cell lengths 4.877, 2.916, 5.372 Å; angles 83.86, 90.00, 90.00 degrees
Fractional positions:
Hg (0.500, 0.750, 0.750)
Mo (0.000, 0.940, 0.035)
Mo (0.000, 0.560, 0.465)
Zr (0.500, 0.250, 0.250)

## Properties
Energy of formation (kJ per mole of atoms): 28.8
Calculated total energy (Ha/atom): -0.269

No. 3
This record from Alexandria describes a relaxed FeTe3Ir crystal. The functional is PBE.

Cell lengths 5.213, 5.213, 5.213 Å; angles 90.00, 90.00, 90.00 degrees
Fractional positions:
Ir (0.000, 0.000, 0.000)
Te (0.000, 0.500, 0.000)
Te (0.000, 0.000, 0.500)
Te (0.500, 0.000, 0.000)
Fe (0.500, 0.500, 0.500)

## Properties
Energy relative to the lowest polymorph listed for this composition (eV per formula unit): 1.37
Calculated total energy (Ha/atom): -0.150
Raw formation energy (eV per atom): 1.28

No. 4
This record from Alexandria describes a relaxed Ba6Cd2Pd crystal. The functional is PBE.

Cell lengths 8.061, 9.146, 11.823 Å; angles 90.00, 89.82, 90.00 degrees
Fractional positions:
Ba (0.875, 0.974, 0.249)
Ba (0.837, 0.691, 0.561)
Ba (0.827, 0.673, 0.941)
Ba (0.673, 0.173, 0.559)
Ba (0.663, 0.191, 0.939)
Ba (0.625, 0.474, 0.251)
Ba (0.125, 0.026, 0.751)
Ba (0.163, 0.309, 0.439)
Ba (0.173, 0.327, 0.059)
Ba (0.327, 0.827, 0.441)
Ba (0.337, 0.809, 0.061)
Ba (0.375, 0.526, 0.749)
Cd (0.951, 0.386, 0.747)
Cd (0.549, 0.886, 0.753)
Cd (0.451, 0.114, 0.247)
Cd (0.049, 0.614, 0.253)
Pd (0.500, 0.500, 0.000)
Pd (0.000, 0.000, 0.500)

## Properties
Energy of formation (kJ per mole of atoms): -25.5
Calculated total energy (Ha/atom): -0.085

No. 5
This record from Alexandria describes a relaxed CuAs3Pd crystal. The functional is PBE.

Cell lengths 4.658, 4.658, 4.658 Å; angles 90.00, 90.00, 90.00 degrees
Fractional positions:
As (0.000, 0.500, 0.000)
As (0.000, 0.000, 0.500)
As (0.500, 0.000, 0.000)
Cu (0.000, 0.000, 0.000)
Pd (0.500, 0.500, 0.500)

## Properties
Energy relative to the lowest polymorph listed for this composition (eV per formula unit): 0.00
Energy of formation (kJ per mole of atoms): 61.9
Calculated total energy (Ha/atom): -0.147

No. 6
This record from Alexandria describes a relaxed Tb4Nd5Th4 crystal. The functional is PBE.

Cell lengths 5.090, 9.572, 9.572 Å; angles 85.95, 74.58, 74.58 degrees
Fractional positions:
Tb (0.765, 0.389, 0.081)
Tb (0.235, 0.611, 0.919)
Tb (0.846, 0.919, 0.389)
Tb (0.154, 0.081, 0.611)
Nd (0.698, 0.840, 0.764)
Nd (0.302, 0.160, 0.236)
Nd (0.000, 0.000, 0.000)
Nd (0.538, 0.764, 0.160)
Nd (0.462, 0.236, 0.840)
Th (0.927, 0.460, 0.686)
Th (0.613, 0.314, 0.460)
Th (0.073, 0.540, 0.314)
Th (0.387, 0.686, 0.540)

## Properties
Energy of formation (kJ per mole of atoms): 3.5
Calculated total energy (Ha/atom): -0.202

No. 7
This record from Alexandria describes a relaxed TaSn3O crystal. The functional is PBE.

Cell lengths 5.370, 5.370, 5.370 Å; angles 90.00, 90.00, 90.00 degrees
Fractional positions:
Sn (0.000, 0.500, 0.000)
Sn (0.000, 0.000, 0.500)
Sn (0.500, 0.000, 0.000)
O (0.500, 0.500, 0.500)
Ta (0.000, 0.000, 0.000)

## Properties
Energy relative to the lowest polymorph listed for this composition (eV per formula unit): 3.10
Calculated total energy (Ha/atom): -0.185
Raw formation energy (eV per atom): 0.73

No. 8
This record from Alexandria describes a relaxed LaAlAs2 crystal. The functional is PBE.

Cell lengths 7.196, 7.196, 6.414 Å; angles 55.88, 55.88, 90.00 degrees
Fractional positions:
As (0.564, 0.125, 0.250)
As (0.186, 0.625, 0.250)
As (0.375, 0.436, 0.750)
As (0.875, 0.814, 0.750)
Al (0.500, 0.500, 0.000)
Al (0.250, 0.750, 0.500)
La (0.000, 0.000, 0.000)
La (0.750, 0.250, 0.500)

## Properties
Energy of formation (kJ per mole of atoms): -81.1
Calculated total energy (Ha/atom): -0.196

No. 9
This record from Alexandria describes a relaxed Li2LaEu crystal. The functional is PBE.

Cell lengths 5.582, 5.582, 5.582 Å; angles 60.00, 60.00, 60.00 degrees
Fractional positions:
Eu (0.000, 0.000, 0.000)
Li (0.250, 0.250, 0.250)
Li (0.750, 0.750, 0.750)
La (0.500, 0.500, 0.500)

## Properties
Energy relative to the lowest polymorph listed for this composition (eV per formula unit): 0.07
Energy of formation (kJ per mole of atoms): 12.0
Calculated total energy (Ha/atom): -0.170

No. 10
This record from Alexandria describes a relaxed Ac2PmPuO6 crystal. The functional is PBE.

Cell lengths 6.134, 6.340, 8.900 Å; angles 90.00, 90.35, 90.00 degrees
Fractional positions:
Ac (0.016, 0.950, 0.247)
Ac (0.516, 0.550, 0.747)
Ac (0.984, 0.050, 0.753)
Ac (0.484, 0.450, 0.253)
Pm (0.500, 0.000, 0.000)
Pm (0.000, 0.500, 0.500)
Pu (0.500, 0.000, 0.500)
Pu (0.000, 0.500, 0.000)
O (0.301, 0.698, 0.075)
O (0.801, 0.802, 0.575)
O (0.699, 0.302, 0.925)
O (0.199, 0.198, 0.425)
O (0.309, 0.695, 0.434)
O (0.809, 0.805, 0.934)
O (0.691, 0.305, 0.566)
O (0.191, 0.195, 0.066)
O (0.869, 0.565, 0.250)
O (0.369, 0.935, 0.750)
O (0.131, 0.435, 0.750)
O (0.631, 0.065, 0.250)

## Properties
Calculated total energy (Ha/atom): -0.327
Raw formation energy (eV per atom): -3.19

No. 11
This record from Alexandria describes a relaxed Li2ZrSb crystal. The functional is PBE.

Cell lengths 3.496, 3.496, 6.869 Å; angles 90.00, 90.00, 99.04 degrees
Fractional positions:
Li (0.000, 0.000, 0.035)
Li (0.500, 0.500, 0.245)
Sb (0.000, 0.000, 0.479)
Zr (0.500, 0.500, 0.740)

## Properties
Calculated total energy (Ha/atom): -0.158
Raw formation energy (eV per atom): -0.17

No. 12
This record from Alexandria describes a relaxed Pm4NiC crystal. The functional is PBE.

Cell lengths 7.497, 7.497, 7.497 Å; angles 106.01, 106.01, 116.64 degrees
Fractional positions:
Pm (0.267, 0.959, 0.693)
Pm (0.733, 0.438, 0.705)
Pm (0.709, 0.517, 0.193)
Pm (0.188, 0.983, 0.205)
Pm (0.324, 0.517, 0.807)
Pm (0.777, 0.983, 0.795)
Pm (0.733, 0.027, 0.295)
Pm (0.267, 0.574, 0.307)
Ni (0.246, 0.246, 0.000)
Ni (0.996, 0.496, 0.500)
C (0.755, 0.755, 0.000)
C (0.505, 0.005, 0.500)

## Properties
Energy of formation (kJ per mole of atoms): -4.8
Calculated total energy (Ha/atom): -0.210

no.,total magnetic moment (μB/f.u.)
1,0.000
2,0.000
3,0.002
4,0.547
5,0.000
6,0.000
7,1.746
8,0.000
9,7.306
10,5.000
11,0.000
12,0.000